Ti5N: optimized geometry, PBE.

abc: 7.343 7.343 2.808
angles: 90.00 90.00 143.45
Fractional positions:
Ti: 0.000 0.000 0.000
Ti: 0.206 0.794 0.500
Ti: 0.392 0.608 0.000
Ti: 0.608 0.392 0.000
Ti: 0.794 0.206 0.500
N: 0.500 0.500 0.500

Computed properties:
Energy relative to the elements, uncorrected ... -0.281 eV/atom
Space group ... No. 65

CaAlMo2: optimized geometry, PBE.

abc: 5.449 5.449 2.731
angles: 90.00 90.00 117.62
Fractional positions:
Ca: 0.000 0.000 0.000
Al: 0.500 0.500 0.000
Mo: 0.000 0.500 0.500
Mo: 0.500 0.000 0.500

Computed properties:
Space group ... No. 65
E_tot ... -6.335 eV per atom

AlSb2Pb: optimized geometry, PBE.

abc: 4.985 4.034 5.386
angles: 90.00 95.93 90.00
Fractional positions:
Al: 0.000 0.000 0.000
Sb: 0.000 0.500 0.500
Sb: 0.500 0.000 0.500
Pb: 0.500 0.500 0.000

Computed properties:
Energy relative to the lowest polymorph listed for this composition ... 0.71 eV/f.u.
Energy relative to the elements, uncorrected ... 0.222 eV/atom
Space group ... No. 10

Sc3Sb2Pt: optimized geometry, PBE.

abc: 11.596 4.203 11.206
angles: 90.00 90.00 90.00
Fractional positions:
Sc: 0.050 0.250 0.124
Sc: 0.122 0.750 0.548
Sc: 0.240 0.250 0.786
Sc: 0.260 0.750 0.286
Sc: 0.378 0.250 0.048
Sc: 0.450 0.750 0.624
Sc: 0.550 0.250 0.376
Sc: 0.622 0.750 0.952
Sc: 0.740 0.250 0.714
Sc: 0.760 0.750 0.214
Sc: 0.878 0.250 0.452
Sc: 0.950 0.750 0.876
Sb: 0.010 0.250 0.698
Sb: 0.183 0.750 0.004
Sb: 0.317 0.250 0.504
Sb: 0.490 0.750 0.198
Sb: 0.510 0.250 0.802
Sb: 0.683 0.750 0.496
Sb: 0.817 0.250 0.996
Sb: 0.990 0.750 0.302
Pt: 0.128 0.250 0.360
Pt: 0.372 0.750 0.860
Pt: 0.628 0.250 0.140
Pt: 0.872 0.750 0.640

Computed properties:
Energy relative to the elements, uncorrected ... -0.925 eV/atom
Space group ... No. 62

Number 1: V 15.03 A^3/atom. Number 2: V 17.96 A^3/atom. Number 3: V 26.93 A^3/atom. Number 4: V 22.76 A^3/atom.